(P)
VASP calculation (PBE) on crystalline MnSIN2 at its relaxed geometry.

Cell and atoms, written as extended XYZ:
```
5
Lattice="3.931 0.000 0.000 0.000 3.931 0.000 0.000 0.000 5.693" Properties=species:S:1:pos:R:3 pbc="T T T"
I 0.000 0.000 0.000
S 0.000 0.000 2.847
Mn 1.966 1.966 2.847
N 0.000 1.966 0.000
N 1.966 0.000 0.000
```



(Q)
VASP calculation (PBE) on crystalline MnSIN2 at its relaxed geometry.

Cell and atoms, written as extended XYZ:
```
5
Lattice="-2.918 0.170 -2.378 -2.339 -0.930 2.804 -0.654 5.182 1.173" Properties=species:S:1:pos:R:3 pbc="T T T"
I -2.956 2.211 0.799
S -0.327 2.591 0.586
Mn 0.000 0.000 0.000
N -1.170 -0.465 1.402
N -1.459 0.085 -1.189
```



The most stable of them is (Q).